! TcPtF3, optimized geometry, DFT PBE; values from VASP
! Relative energy among the computed polymorphs in meV/atom: 0
! Uncorrected formation energy in eV per atom: -0.4086
&SYSTEM
  ibrav = 0, nat = 5, ntyp = 3
/
ATOMIC_SPECIES
Tc 98.00 Tc.upf
Pt 195.08 Pt.upf
F 19.00 F.upf
CELL_PARAMETERS angstrom
-1.318 1.054 3.858
-3.917 -1.163 -1.021
0.810 -3.908 1.344
ATOMIC_POSITIONS crystal
Tc 0.000 0.000 0.000
Pt 0.500 0.500 0.500
F 0.000 0.500 0.000
F 0.000 0.000 0.500
F 0.500 0.000 0.000

! SrBe3Sn, optimized geometry, DFT PBE; values from VASP
! Formation energy from the elements in meV/atom: 1978
! Relative energy among the computed polymorphs in meV/atom: 1168
&SYSTEM
  ibrav = 0, nat = 5, ntyp = 3
/
ATOMIC_SPECIES
Sr 87.62 Sr.upf
Sn 118.71 Sn.upf
Be 9.01 Be.upf
CELL_PARAMETERS angstrom
5.241 0.000 0.000
0.000 5.241 0.000
0.000 0.000 5.241
ATOMIC_POSITIONS crystal
Sr 0.000 0.000 0.000
Sn 0.500 0.500 0.500
Be 0.000 0.500 0.000
Be 0.000 0.000 0.500
Be 0.500 0.000 0.000

! Ta6AlW, optimized geometry, DFT PBE; values from VASP
! Formation energy from the elements in meV/atom: -90
&SYSTEM
  ibrav = 0, nat = 8, ntyp = 3
/
ATOMIC_SPECIES
Ta 180.95 Ta.upf
Al 26.98 Al.upf
W 183.84 W.upf
CELL_PARAMETERS angstrom
7.371 0.013 0.098
3.674 6.392 -0.165
3.637 2.240 2.987
ATOMIC_POSITIONS crystal
Ta 0.999 0.500 0.748
Ta 0.753 0.000 0.747
Ta 0.500 0.247 0.253
Ta 0.247 0.000 0.253
Ta 0.001 0.500 0.252
Ta 0.500 0.753 0.747
Al 0.500 0.500 0.500
W 0.000 0.000 0.000

! Tc2Ge4Os, optimized geometry, DFT PBE; values from VASP
! Formation energy from the elements in meV/atom: -46
&SYSTEM
  ibrav = 0, nat = 7, ntyp = 3
/
ATOMIC_SPECIES
Tc 98.00 Tc.upf
Ge 72.64 Ge.upf
Os 190.23 Os.upf
CELL_PARAMETERS angstrom
3.190 0.000 0.000
0.000 5.684 0.058
-1.595 -2.712 6.444
ATOMIC_POSITIONS crystal
Tc 0.752 0.747 0.504
Tc 0.248 0.253 0.496
Ge 0.879 0.217 0.757
Ge 0.121 0.783 0.243
Ge 0.615 0.320 0.229
Ge 0.385 0.680 0.771
Os 0.000 0.000 0.000

Uncorrected energy across the listed records, respectively: -0.3537 -0.1025 -0.8133 -0.5329 Ry/atom.